TbSm3Hg3 | Alexandria via LeMat-Bulk | PBE | relaxed; formation energy from the elements = -0.307 eV per atom; E = -43.68 eV per cell
1.0
7.242 1.817 0.536
-1.600 7.294 0.536
-0.382 -0.617 7.269
Tb Sm Hg
2 6 6
direct
0.787 0.787 0.000
0.213 0.213 0.000
0.719 0.719 0.500
0.250 0.750 0.500
0.750 0.250 0.500
0.308 0.692 0.000
0.692 0.308 0.000
0.281 0.281 0.500
0.000 0.000 0.273
0.000 0.500 0.756
0.500 0.000 0.756
0.000 0.500 0.244
0.500 0.000 0.244
0.000 0.000 0.727